Model A:
VASP calculation (GGA-PBE) on a relaxed ErLuNi4 crystal.

a = 5.3106 Å, b = 5.3106 Å, c = 7.9390 Å
α = 90.00°, β = 90.00°, γ = 120.00°
Element x y z (fractional)
Ni: 0.6667 0.3333 0.0000
Lu: 0.6667 0.3333 0.5000
Ni: 0.3333 0.6667 0.0000
Lu: 0.3333 0.6667 0.5000
Ni: 0.0000 0.5000 0.7677
Ni: 0.5000 0.5000 0.2323
Er: 0.0000 0.0000 0.0000
Ni: 0.5000 0.0000 0.2323
Ni: 0.5000 0.5000 0.7677
Er: 0.0000 0.0000 0.5000
Ni: 0.5000 0.0000 0.7677
Ni: 0.0000 0.5000 0.2323

size of the total moment: 0.00 μB per formula unit

Model B:
VASP calculation (GGA-PBE) on a relaxed ErLuNi4 crystal.

a = 4.9676 Å, b = 4.9676 Å, c = 4.9676 Å
α = 60.00°, β = 60.00°, γ = 60.00°
Element x y z (fractional)
Ni: 0.3754 0.8739 0.3754
Ni: 0.3754 0.3754 0.3754
Ni: 0.3754 0.3754 0.8739
Er: 0.0000 0.0000 0.0000
Lu: 0.7500 0.7500 0.7500
Ni: 0.8739 0.3754 0.3754

size of the total moment: 0.00 μB per formula unit

Tell me which of them is the most stable. Sure, it is model B.